# 1
PAuS2Cl | GGA-PBEsol | optimized geometry

Computed properties:
* crystal system: tetragonal
* Fermi-level density of states: 0.76 states/eV/atom
* electronic total energy: -3.20 eV per atom
* volume: 21.11 Å³/atom

The structure in POSCAR format:
```
PAuS2Cl
1.0
-0.9528 -4.3321 -1.3812
3.0218 -1.7065 3.2679
-3.5547 -0.2282 3.1678
P S Au Cl
1 2 1 1
direct
0.5000 0.5000 0.5000
0.0000 0.0000 0.5000
0.0000 0.5000 0.0000
0.0000 0.0000 0.0000
0.5000 0.0000 0.0000
```

***

# 2
PbAu2Cl | GGA-PBEsol | optimized geometry

Computed properties:
* crystal system: cubic
* Fermi-level density of states: 0.44 states/eV/atom
* energy above the most stable polymorph in this dataset: 1.076 eV per formula unit
* volume: 21.05 Å³/atom

The structure in POSCAR format:
```
PbAu2Cl
1.0
4.9198 0.0000 0.0000
2.4599 4.2607 0.0000
2.4599 1.4202 4.0170
Pb Au Cl
1 2 1
direct
0.2500 0.2500 0.2500
0.0000 0.0000 0.0000
0.7500 0.7500 0.7500
0.5000 0.5000 0.5000
```

***

# 3
PbAu2Cl | GGA-PBEsol | optimized geometry

Computed properties:
* crystal system: monoclinic
* Fermi-level density of states: 0.18 states/eV/atom
* energy above the most stable polymorph in this dataset: 0.000 eV per formula unit
* volume: 23.66 Å³/atom

The structure in POSCAR format:
```
PbAu2Cl
1.0
-1.9810 0.0574 3.3664
-2.0936 -2.9325 -1.1821
5.2056 -4.0784 0.8979
Pb Au Cl
1 2 1
direct
0.1879 0.5000 0.2528
0.0101 0.0000 0.8915
0.5142 0.5000 0.8999
0.7877 0.0000 0.4558
```

***

# 4
PbAuCl2 | GGA-PBEsol | optimized geometry

Computed properties:
* crystal system: tetragonal
* Fermi-level density of states: 0.53 states/eV/atom
* energy above the most stable polymorph in this dataset: 0.000 eV per formula unit
* volume: 23.15 Å³/atom

The structure in POSCAR format:
```
PbAuCl2
1.0
-3.0885 1.4782 -0.7060
-1.4023 -1.6067 2.7703
1.8353 5.9175 4.3611
Pb Au Cl
1 1 2
direct
0.0000 0.0000 0.5202
0.5000 0.5000 0.7566
0.0000 0.0000 0.9319
0.5000 0.5000 0.2913
```